1.
Entry from Alexandria via LeMat-Bulk: Cs2GaPt2 after structural relaxation (PBE-GGA).

Unit cell a=6.8016 b=6.8016 c=5.9852 alpha=90.00 beta=90.00 gamma=90.00
With the nearest neighbours (Å) after each atom.
Element x y z (fractional)
1 Pt 0.8604 0.6396 0.0000  2 Ga 2.63, 1 Pt 2.69
2 Ga 0.0000 0.0000 0.0000  4 Pt 2.63
3 Cs 0.1815 0.6815 0.5000  6 Pt 3.45-3.72, 5 Cs 3.49-3.53
4 Cs 0.6815 0.8185 0.5000  6 Pt 3.45-3.72, 5 Cs 3.49-3.53
5 Pt 0.1396 0.3604 0.0000  2 Ga 2.63, 1 Pt 2.69
6 Cs 0.8185 0.3185 0.5000  6 Pt 3.45-3.72, 5 Cs 3.49-3.53
7 Pt 0.6396 0.1396 0.0000  2 Ga 2.63, 1 Pt 2.69
8 Ga 0.5000 0.5000 0.0000  4 Pt 2.63
9 Cs 0.3185 0.1815 0.5000  6 Pt 3.45-3.72, 5 Cs 3.49-3.53
10 Pt 0.3604 0.8604 0.0000  2 Ga 2.63, 1 Pt 2.69

Properties
crystal system = tetragonal
energy = -3.399 eV per atom
SG = P4/mbm, No. 127
ΔE_f = -0.18 eV per formula unit

2.
Entry from Alexandria via LeMat-Bulk: NaSr2TbSe4 after structural relaxation (PBE-GGA).

Unit cell a=4.3221 b=7.4860 c=7.4174 alpha=108.69 beta=90.00 gamma=90.00
With the nearest neighbours (Å) after each atom.
Element x y z (fractional)
1 Se 0.0000 0.2408 0.7627  1 Tb 2.89, 2 Na 3.06, 3 Sr 3.08-3.16
2 Sr 0.0000 0.5000 0.5000  6 Se 3.16-3.17
3 Se 0.0000 0.7592 0.2373  1 Tb 2.89, 2 Na 3.06, 3 Sr 3.08-3.16
4 Sr 0.5000 0.0000 0.5000  6 Se 3.07-3.08
5 Se 0.5000 0.7638 0.7701  2 Tb 2.96, 1 Na 2.99, 3 Sr 3.07-3.17
6 Tb 0.0000 0.0000 0.0000  6 Se 2.89-2.96
7 Na 0.5000 0.5000 0.0000  6 Se 2.99-3.06
8 Se 0.5000 0.2362 0.2299  2 Tb 2.96, 1 Na 2.99, 3 Sr 3.07-3.17

Properties
crystal system = monoclinic
energy = -4.748 eV per atom
SG = P2/m, No. 10
uncorrected formation energy = -1.84 eV/atom

3.
Entry from Alexandria via LeMat-Bulk: Pr3Ti2O8 after structural relaxation (PBE-GGA).

Unit cell a=5.8114 b=5.8114 c=7.2996 alpha=66.54 beta=66.54 gamma=60.00
With the nearest neighbours (Å) after each atom.
Element x y z (fractional)
1 Pr 0.1958 0.1958 0.4127  4 O 2.29-2.43
2 O 0.2601 0.7845 0.6954  1 Ti 1.85
3 O 0.2155 0.7399 0.3046  1 Ti 1.85
4 Ti 0.4054 0.4054 0.7839  4 O 1.79-1.85
5 Pr 0.0000 0.0000 0.0000  6 O 2.54
6 O 0.7845 0.2601 0.6954  1 Ti 1.85
7 Pr 0.8042 0.8042 0.5873  4 O 2.29-2.43
8 Ti 0.5946 0.5946 0.2161  4 O 1.79-1.85
9 O 0.7399 0.7399 0.3046  1 Ti 1.85
10 O 0.6866 0.6866 0.9401  1 Ti 1.79
11 O 0.3134 0.3134 0.0599  1 Ti 1.79
12 O 0.2601 0.2601 0.6954  1 Ti 1.85
13 O 0.7399 0.2155 0.3046  1 Ti 1.85

Properties
crystal system = trigonal
energy = -8.430 eV per atom
SG = R-3m, No. 166
uncorrected formation energy = -3.06 eV/atom

4.
Entry from Alexandria via LeMat-Bulk: HfZn2Ni9 after structural relaxation (PBE-GGA).

Unit cell a=4.7202 b=4.7202 c=8.2285 alpha=73.33 beta=73.33 gamma=60.00
With the nearest neighbours (Å) after each atom.
Element x y z (fractional)
1 Ni 0.5871 0.0810 0.7448  7 Ni 2.33-2.41
2 Ni 0.5000 0.5000 0.5000  6 Ni 2.35
3 Ni 0.4129 0.4129 0.2552  7 Ni 2.33-2.41
4 Ni 0.9190 0.4129 0.2552  7 Ni 2.33-2.41
5 Hf 0.0000 0.0000 0.0000  6 Ni 2.73
6 Ni 0.0810 0.5871 0.7448  7 Ni 2.33-2.41
7 Zn 0.8562 0.8562 0.4313  12 Ni 2.73-2.78, 3 Zn 2.93
8 Ni 0.5871 0.5871 0.7448  7 Ni 2.33-2.41
9 Ni 0.6657 0.6657 0.0029  6 Ni 2.40-2.41
10 Ni 0.3343 0.3343 0.9971  6 Ni 2.40-2.41
11 Zn 0.1438 0.1438 0.5687  12 Ni 2.73-2.78, 3 Zn 2.93
12 Ni 0.4129 0.9190 0.2552  7 Ni 2.33-2.41

Properties
crystal system = trigonal
energy = -5.545 eV per atom
SG = R-3m, No. 166
ΔE_f = -2.01 eV per formula unit

5.
Entry from Alexandria via LeMat-Bulk: FeReAu2 after structural relaxation (PBE-GGA).

Unit cell a=9.3375 b=9.3375 c=9.3375 alpha=17.38 beta=17.38 gamma=17.38
With the nearest neighbours (Å) after each atom.
Element x y z (fractional)
1 Fe 0.2500 0.2500 0.2500  6 Au 2.77, 6 Fe 2.82
2 Au 0.9978 0.9978 0.9978  3 Fe 2.77, 6 Au 2.82, 3 Re 2.87
3 Re 0.7500 0.7500 0.7500  6 Re 2.82, 6 Au 2.87
4 Au 0.5022 0.5022 0.5022  3 Fe 2.77, 6 Au 2.82, 3 Re 2.87

Properties
crystal system = trigonal
energy = -6.434 eV per atom
SG = R-3m, No. 166
ΔE_f = 1.73 eV per formula unit

6.
Entry from Alexandria via LeMat-Bulk: LiSc5In3 after structural relaxation (PBE-GGA).

Unit cell a=6.2164 b=8.7177 c=8.7176 alpha=120.00 beta=90.00 gamma=90.00
With the nearest neighbours (Å) after each atom.
Element x y z (fractional)
1 In 0.7500 0.6490 0.0000  9 Sc 2.90-3.23
2 Sc 0.5000 0.6667 0.3333  8 Sc 3.11-3.38, 6 In 3.23
3 Li 0.5000 0.0000 0.0000  2 Li 3.11, 6 Sc 3.13, 6 In 3.43
4 Sc 0.7500 0.0000 0.3115  5 In 2.90-3.13, 2 Li 3.13
5 Sc 0.0000 0.6667 0.3333  8 Sc 3.11-3.38, 6 In 3.23
6 In 0.2500 0.3510 0.0000  9 Sc 2.90-3.23
7 In 0.2500 0.0000 0.3511  9 Sc 2.90-3.23
8 Sc 0.2500 0.3115 0.3115  5 In 2.90-3.13, 2 Li 3.13
9 Sc 0.7500 0.6885 0.6885  5 In 2.90-3.13, 2 Li 3.13
10 Sc 0.2500 0.6885 0.0000  5 In 2.90-3.13, 2 Li 3.13
11 Sc 0.2500 0.0000 0.6885  5 In 2.90-3.13, 2 Li 3.13
12 Li 0.0000 0.0000 0.0000  2 Li 3.11, 6 Sc 3.13, 6 In 3.43
13 In 0.7500 0.3510 0.3511  9 Sc 2.90-3.23
14 In 0.2500 0.6490 0.6489  9 Sc 2.90-3.23
15 Sc 0.5000 0.3333 0.6667  8 Sc 3.11-3.38, 6 In 3.23
16 Sc 0.7500 0.3115 0.0000  5 In 2.90-3.13, 2 Li 3.13
17 In 0.7500 0.0000 0.6489  9 Sc 2.90-3.23
18 Sc 0.0000 0.3333 0.6667  8 Sc 3.11-3.38, 6 In 3.23

Properties
crystal system = hexagonal
energy = -4.997 eV per atom
SG = P6_3/mcm, No. 193
ΔE_f = -3.19 eV per formula unit

7.
Entry from Alexandria via LeMat-Bulk: Hf4MgZn after structural relaxation (PBE-GGA).

Unit cell a=3.2002 b=3.2002 c=12.4420 alpha=90.00 beta=90.00 gamma=90.00
With the nearest neighbours (Å) after each atom.
Element x y z (fractional)
1 Mg 0.0000 0.0000 0.0000  4 Mg 3.20, 8 Hf 3.25
2 Hf 0.0000 0.0000 0.6454  4 Zn 2.90, 8 Hf 3.07-3.20
3 Hf 0.0000 0.0000 0.3546  4 Zn 2.90, 8 Hf 3.07-3.20
4 Hf 0.5000 0.5000 0.1876  8 Hf 3.07-3.20, 4 Mg 3.25
5 Zn 0.5000 0.5000 0.5000  8 Hf 2.90, 4 Zn 3.20
6 Hf 0.5000 0.5000 0.8124  8 Hf 3.07-3.20, 4 Mg 3.25

Properties
crystal system = tetragonal
energy = -7.184 eV per atom
SG = P4/mmm, No. 123
ΔE_f = -0.42 eV per formula unit

8.
Entry from Alexandria via LeMat-Bulk: H2SeCl after structural relaxation (PBE-GGA).

Unit cell a=4.0382 b=4.0382 c=4.0382 alpha=60.00 beta=60.00 gamma=60.00
With the nearest neighbours (Å) after each atom.
Element x y z (fractional)
1 H 0.7500 0.7500 0.7500  4 Se 2.47, 4 Cl 2.47
2 Cl 0.0000 0.0000 0.0000  8 H 2.47
3 Se 0.5000 0.5000 0.5000  8 H 2.47
4 H 0.2500 0.2500 0.2500  4 Cl 2.47, 4 Se 2.47

Properties
crystal system = cubic
energy = -1.783 eV per atom
SG = Fm-3m, No. 225

What is the formula in the fifth record?
FeReAu2

The highest energy belongs to which entry?
H2SeCl

Which of these has the lowest energy?
Pr3Ti2O8